{
  "formula": "Rb2TlSeBr6",
  "functional": "PBE-GGA",
  "state": "optimized geometry",
  "m_tot_mub_per_fu": 0.0,
  "raw_formation_energy_ev_per_atom": -0.8829,
  "lattice_angstrom": [[8.374, 0.000, 0.257], [0.000, 8.339, 0.000], [0.435, 0.000, 11.079]],
  "species": ["Br", "Br", "Br", "Br", "Br", "Br", "Br", "Br", "Br", "Br", "Br", "Br", "Rb", "Rb", "Rb", "Rb", "Tl", "Tl", "Se", "Se"],
  "fractional_positions": [[0.294, 0.716, 0.044], [0.601, 0.027, 0.274], [0.666, 0.257, 0.547], [0.834, 0.757, 0.953], [0.794, 0.784, 0.544], [0.101, 0.473, 0.774], [0.334, 0.743, 0.453], [0.399, 0.973, 0.726], [0.899, 0.527, 0.226], [0.166, 0.243, 0.047], [0.706, 0.284, 0.956], [0.206, 0.216, 0.456], [0.520, 0.561, 0.764], [0.980, 0.061, 0.736], [0.480, 0.439, 0.236], [0.020, 0.939, 0.264], [0.500, 0.000, 0.000], [0.000, 0.500, 0.500], [0.500, 0.000, 0.500], [0.000, 0.500, 0.000]]
}

---

{
  "formula": "RbTlSeBr",
  "functional": "PBE-GGA",
  "state": "optimized geometry",
  "m_tot_mub_per_fu": 0.2,
  "raw_formation_energy_ev_per_atom": -0.7466,
  "lattice_angstrom": [[5.264, 0.000, 0.000], [-2.632, 4.559, 0.000], [0.000, 0.000, 6.376]],
  "species": ["Br", "Se", "Rb", "Tl"],
  "fractional_positions": [[0.333, 0.667, 0.589], [0.333, 0.667, 0.101], [0.000, 0.000, 0.831], [0.667, 0.333, 0.288]]
}

---

{
  "formula": "RbTlSeBr",
  "functional": "PBE-GGA",
  "state": "optimized geometry",
  "m_tot_mub_per_fu": 0.0,
  "raw_formation_energy_ev_per_atom": -0.7876,
  "lattice_angstrom": [[4.302, 0.000, -0.009], [0.000, 4.646, 0.000], [-4.232, 0.000, 15.318]],
  "species": ["Rb", "Rb", "Br", "Br", "Se", "Se", "Tl", "Tl"],
  "fractional_positions": [[0.121, 0.000, 0.673], [0.121, 0.500, 0.173], [0.735, 0.000, 0.289], [0.735, 0.500, 0.789], [0.500, 0.500, 0.551], [0.500, 0.000, 0.051], [0.883, 0.000, 0.932], [0.883, 0.500, 0.432]]
}

---

Which formula does entry 3 have?
RbTlSeBr